# Co4PbO9 | the Open Quantum Materials Database | GGA+U | optimized geometry
data_Co4PbO9
_chemical_formula_sum 'Co8 Pb2 O18'
_cell_length_a 6.930
_cell_length_b 10.544
_cell_length_c 4.891
_cell_angle_alpha 90.00
_cell_angle_beta 116.87
_cell_angle_gamma 90.00
_symmetry_space_group_name_H-M 'C 1 2 1'
_symmetry_Int_Tables_number 5
loop_
_symmetry_equiv_pos_as_xyz
'x,y,z'
'-x,y,-z'
'x+1/2,y+1/2,z'
'-x+1/2,y+1/2,-z'
loop_
_atom_site_label
_atom_site_type_symbol
_atom_site_fract_x
_atom_site_fract_y
_atom_site_fract_z
Co1 Co 0.000 0.000 0.000
Co2 Co 0.000 0.141 0.500
Co3 Co 0.216 0.751 0.816
Pb1 Pb 0.000 0.453 0.500
O1 O 0.000 0.663 0.500
O2 O 0.124 0.274 0.388
O3 O 0.154 0.011 0.413
O4 O 0.186 0.115 0.911
O5 O 0.212 0.887 0.025
# - ρ: 6.114 Mg/m³
# - Total energy: -5.57 eV per atom